Entry 1:
## VRuC2 (PBE-GGA)

Data for a relaxed structure of VRuC2. Values from VASP.

Structure (Quantum ESPRESSO input):
```
&SYSTEM
  ibrav = 0, nat = 8, ntyp = 3
/
ATOMIC_SPECIES
Ru 101.07 Ru.upf
C 12.01 C.upf
V 50.94 V.upf
CELL_PARAMETERS angstrom
-1.208 3.314 2.856
-0.703 -3.071 3.267
3.405 0.553 4.405
ATOMIC_POSITIONS crystal
Ru 0.750 0.250 0.500
Ru 0.000 0.000 0.000
C 0.375 0.373 0.750
C 0.123 0.625 0.250
C 0.627 0.125 0.250
C 0.875 0.877 0.750
V 0.500 0.500 0.000
V 0.250 0.750 0.500
```

Calculated values
DFT formation energy in eV/f.u.: 1.65
Excess energy over the best structure of this formula in the dataset in meV/atom: 0


Entry 2:
## VRu2C2 (PBE-GGA)

Data for a relaxed structure of VRu2C2. Values from VASP.

Structure (Quantum ESPRESSO input):
```
&SYSTEM
  ibrav = 0, nat = 10, ntyp = 3
/
ATOMIC_SPECIES
C 12.01 C.upf
Ru 101.07 Ru.upf
V 50.94 V.upf
CELL_PARAMETERS angstrom
6.069 0.000 0.000
0.000 6.069 0.000
0.000 0.000 2.814
ATOMIC_POSITIONS crystal
C 0.325 0.825 0.000
C 0.825 0.675 0.000
C 0.675 0.175 0.000
C 0.175 0.325 0.000
Ru 0.151 0.651 0.500
Ru 0.349 0.151 0.500
Ru 0.651 0.849 0.500
Ru 0.849 0.349 0.500
V 0.500 0.500 0.000
V 0.000 0.000 0.000
```

Calculated values
DFT formation energy in eV/f.u.: 2.75
Excess energy over the best structure of this formula in the dataset in meV/atom: 52


Entry 3:
## V2RuC (PBE-GGA)

Data for a relaxed structure of V2RuC. Values from VASP.

Structure (Quantum ESPRESSO input):
```
&SYSTEM
  ibrav = 0, nat = 8, ntyp = 3
/
ATOMIC_SPECIES
Ru 101.07 Ru.upf
C 12.01 C.upf
V 50.94 V.upf
CELL_PARAMETERS angstrom
6.827 0.000 0.000
0.000 6.827 0.000
3.413 3.413 2.127
ATOMIC_POSITIONS crystal
Ru 0.750 0.250 0.500
Ru 0.000 0.000 0.000
C 0.500 0.500 0.000
C 0.250 0.750 0.500
V 0.375 0.491 0.750
V 0.509 0.125 0.250
V 0.875 0.759 0.750
V 0.241 0.625 0.250
```

Calculated values
DFT formation energy in eV/f.u.: 0.07


Entry 4:
## ZrVRuC2 (PBE-GGA)

Data for a relaxed structure of ZrVRuC2. Values from VASP.

Structure (Quantum ESPRESSO input):
```
&SYSTEM
  ibrav = 0, nat = 5, ntyp = 4
/
ATOMIC_SPECIES
Zr 91.22 Zr.upf
V 50.94 V.upf
C 12.01 C.upf
Ru 101.07 Ru.upf
CELL_PARAMETERS angstrom
-2.522 0.910 -2.847
-3.407 -2.071 2.355
-0.811 3.377 1.798
ATOMIC_POSITIONS crystal
Zr 0.500 0.500 0.500
V 0.000 0.000 0.000
C 0.000 0.000 0.500
C 0.500 0.000 0.000
Ru 0.000 0.500 0.000
```

Calculated values
DFT formation energy in eV/f.u.: 5.36


Entry 5:
## RuWC3 (PBE-GGA)

Data for a relaxed structure of RuWC3. Values from VASP.

Structure (Quantum ESPRESSO input):
```
&SYSTEM
  ibrav = 0, nat = 5, ntyp = 3
/
ATOMIC_SPECIES
C 12.01 C.upf
W 183.84 W.upf
Ru 101.07 Ru.upf
CELL_PARAMETERS angstrom
4.053 0.000 0.000
0.000 4.053 0.000
0.000 0.000 4.053
ATOMIC_POSITIONS crystal
C 0.000 0.500 0.000
C 0.500 0.000 0.000
C 0.000 0.000 0.500
W 0.000 0.000 0.000
Ru 0.500 0.500 0.500
```

Calculated values
DFT formation energy in eV/f.u.: 11.13
Excess energy over the best structure of this formula in the dataset in meV/atom: 0


Entry 6:
## Ru2WC (PBE-GGA)

Data for a relaxed structure of Ru2WC. Values from VASP.

Structure (Quantum ESPRESSO input):
```
&SYSTEM
  ibrav = 0, nat = 8, ntyp = 3
/
ATOMIC_SPECIES
Ru 101.07 Ru.upf
C 12.01 C.upf
W 183.84 W.upf
CELL_PARAMETERS angstrom
-1.340 -2.469 4.367
4.343 -2.834 -0.269
3.792 0.617 4.600
ATOMIC_POSITIONS crystal
Ru 0.875 0.795 0.750
Ru 0.375 0.455 0.750
Ru 0.205 0.625 0.250
Ru 0.545 0.125 0.250
C 0.500 0.500 0.000
C 0.250 0.750 0.500
W 0.000 0.000 0.000
W 0.750 0.250 0.500
```

Calculated values
DFT formation energy in eV/f.u.: 2.97


Entry 7:
## RuWC3 (PBE-GGA)

Data for a relaxed structure of RuWC3. Values from VASP.

Structure (Quantum ESPRESSO input):
```
&SYSTEM
  ibrav = 0, nat = 5, ntyp = 3
/
ATOMIC_SPECIES
C 12.01 C.upf
Ru 101.07 Ru.upf
W 183.84 W.upf
CELL_PARAMETERS angstrom
3.891 0.000 0.000
0.000 3.891 0.000
0.000 0.000 3.891
ATOMIC_POSITIONS crystal
C 0.500 0.000 0.000
C 0.000 0.500 0.000
C 0.000 0.000 0.500
Ru 0.000 0.000 0.000
W 0.500 0.500 0.500
```

Calculated values
DFT formation energy in eV/f.u.: 12.73
Excess energy over the best structure of this formula in the dataset in meV/atom: 320


Entry 8:
## YRuWC2 (PBE-GGA)

Data for a relaxed structure of YRuWC2. Values from VASP.

Structure (Quantum ESPRESSO input):
```
&SYSTEM
  ibrav = 0, nat = 5, ntyp = 4
/
ATOMIC_SPECIES
C 12.01 C.upf
Y 88.91 Y.upf
Ru 101.07 Ru.upf
W 183.84 W.upf
CELL_PARAMETERS angstrom
4.031 0.000 0.000
0.000 5.829 0.000
0.000 0.000 4.031
ATOMIC_POSITIONS crystal
C 0.000 0.000 0.500
C 0.500 0.000 0.000
Y 0.000 0.500 0.000
Ru 0.500 0.500 0.500
W 0.000 0.000 0.000
```

Calculated values
DFT formation energy in eV/f.u.: 8.97


Entry 9:
## ZrRuWC2 (PBE-GGA)

Data for a relaxed structure of ZrRuWC2. Values from VASP.

Structure (Quantum ESPRESSO input):
```
&SYSTEM
  ibrav = 0, nat = 5, ntyp = 4
/
ATOMIC_SPECIES
C 12.01 C.upf
Ru 101.07 Ru.upf
Zr 91.22 Zr.upf
W 183.84 W.upf
CELL_PARAMETERS angstrom
3.951 0.000 0.000
0.000 5.313 0.000
0.000 0.000 3.951
ATOMIC_POSITIONS crystal
C 0.500 0.000 0.000
C 0.000 0.000 0.500
Ru 0.000 0.000 0.000
Zr 0.000 0.500 0.000
W 0.500 0.500 0.500
```

Calculated values
DFT formation energy in eV/f.u.: 9.76


Entry 10:
## YRuC (PBE-GGA)

Data for a relaxed structure of YRuC. Values from VASP.

Structure (Quantum ESPRESSO input):
```
&SYSTEM
  ibrav = 0, nat = 3, ntyp = 3
/
ATOMIC_SPECIES
Y 88.91 Y.upf
Ru 101.07 Ru.upf
C 12.01 C.upf
CELL_PARAMETERS angstrom
4.805 0.000 0.000
0.000 3.360 0.000
0.000 -1.680 2.910
ATOMIC_POSITIONS crystal
Y 0.729 0.667 0.333
Ru 0.206 0.333 0.667
C 0.065 0.000 0.000
```

Calculated values
DFT formation energy in eV/f.u.: -0.48
Excess energy over the best structure of this formula in the dataset in meV/atom: 57


Entry 11:
## Y2RuC2 (PBE-GGA)

Data for a relaxed structure of Y2RuC2. Values from VASP.

Structure (Quantum ESPRESSO input):
```
&SYSTEM
  ibrav = 0, nat = 10, ntyp = 3
/
ATOMIC_SPECIES
C 12.01 C.upf
Ru 101.07 Ru.upf
Y 88.91 Y.upf
CELL_PARAMETERS angstrom
5.055 0.000 0.000
-2.528 5.545 -0.149
0.000 -3.137 5.976
ATOMIC_POSITIONS crystal
C 0.511 0.022 0.782
C 0.489 0.978 0.218
C 0.821 0.643 0.398
C 0.179 0.357 0.602
Ru 0.635 0.271 0.128
Ru 0.365 0.729 0.872
Y 0.679 0.357 0.614
Y 0.032 0.064 0.775
Y 0.968 0.936 0.225
Y 0.321 0.643 0.386
```

Calculated values
DFT formation energy in eV/f.u.: -1.50
Excess energy over the best structure of this formula in the dataset in meV/atom: 28


Entry 12:
## YRu4C2 (PBE-GGA)

Data for a relaxed structure of YRu4C2. Values from VASP.

Structure (Quantum ESPRESSO input):
```
&SYSTEM
  ibrav = 0, nat = 7, ntyp = 3
/
ATOMIC_SPECIES
Ru 101.07 Ru.upf
C 12.01 C.upf
Y 88.91 Y.upf
CELL_PARAMETERS angstrom
-2.406 -2.810 0.792
1.018 -1.786 -3.241
4.359 -2.343 4.932
ATOMIC_POSITIONS crystal
Ru 0.000 0.678 0.356
Ru 0.500 0.175 0.351
Ru 0.000 0.322 0.644
Ru 0.500 0.825 0.649
C 0.500 0.615 0.229
C 0.500 0.385 0.771
Y 0.000 0.000 0.000
```

Calculated values
DFT formation energy in eV/f.u.: 0.70


Entry 13:
## YRuC (PBE-GGA)

Data for a relaxed structure of YRuC. Values from VASP.

Structure (Quantum ESPRESSO input):
```
&SYSTEM
  ibrav = 0, nat = 3, ntyp = 3
/
ATOMIC_SPECIES
Ru 101.07 Ru.upf
Y 88.91 Y.upf
C 12.01 C.upf
CELL_PARAMETERS angstrom
3.555 0.000 0.000
0.000 3.555 0.000
0.000 0.000 3.918
ATOMIC_POSITIONS crystal
Ru 0.500 0.500 0.500
Y 0.000 0.000 0.000
C 0.500 0.500 0.000
```

Calculated values
DFT formation energy in eV/f.u.: -0.63
Excess energy over the best structure of this formula in the dataset in meV/atom: 7


Entry 14:
## YRuC (PBE-GGA)

Data for a relaxed structure of YRuC. Values from VASP.

Structure (Quantum ESPRESSO input):
```
&SYSTEM
  ibrav = 0, nat = 6, ntyp = 3
/
ATOMIC_SPECIES
Y 88.91 Y.upf
Ru 101.07 Ru.upf
C 12.01 C.upf
CELL_PARAMETERS angstrom
3.312 0.000 0.000
0.000 5.727 -0.639
-1.656 -1.088 5.287
ATOMIC_POSITIONS crystal
Y 0.892 0.673 0.784
Y 0.108 0.327 0.216
Ru 0.660 0.861 0.320
Ru 0.340 0.139 0.680
C 0.241 0.764 0.482
C 0.759 0.236 0.518
```

Calculated values
DFT formation energy in eV/f.u.: -0.58
Excess energy over the best structure of this formula in the dataset in meV/atom: 23


Entry 15:
## Y2RuC2 (PBE-GGA)

Data for a relaxed structure of Y2RuC2. Values from VASP.

Structure (Quantum ESPRESSO input):
```
&SYSTEM
  ibrav = 0, nat = 20, ntyp = 3
/
ATOMIC_SPECIES
Y 88.91 Y.upf
Ru 101.07 Ru.upf
C 12.01 C.upf
CELL_PARAMETERS angstrom
-2.190 3.744 -2.731
-4.754 0.419 4.387
5.186 6.670 4.983
ATOMIC_POSITIONS crystal
Y 0.750 0.027 0.284
Y 0.750 0.527 0.216
Y 0.250 0.322 0.446
Y 0.250 0.473 0.784
Y 0.750 0.178 0.946
Y 0.750 0.678 0.554
Y 0.250 0.973 0.716
Y 0.250 0.822 0.054
Ru 0.750 0.721 0.864
Ru 0.250 0.279 0.136
Ru 0.250 0.779 0.364
Ru 0.750 0.221 0.636
C 0.750 0.457 0.758
C 0.750 0.824 0.052
C 0.250 0.176 0.948
C 0.250 0.043 0.258
C 0.750 0.957 0.742
C 0.250 0.543 0.242
C 0.250 0.676 0.552
C 0.750 0.324 0.448
```

Calculated values
DFT formation energy in eV/f.u.: -1.64
Excess energy over the best structure of this formula in the dataset in meV/atom: 0


Entry 16:
## YRuC (PBE-GGA)

Data for a relaxed structure of YRuC. Values from VASP.

Structure (Quantum ESPRESSO input):
```
&SYSTEM
  ibrav = 0, nat = 12, ntyp = 3
/
ATOMIC_SPECIES
Y 88.91 Y.upf
C 12.01 C.upf
Ru 101.07 Ru.upf
CELL_PARAMETERS angstrom
3.904 0.000 0.000
0.000 4.821 0.000
0.000 0.000 11.129
ATOMIC_POSITIONS crystal
Y 0.250 0.000 0.150
Y 0.750 0.500 0.350
Y 0.750 0.000 0.850
Y 0.250 0.500 0.650
C 0.750 0.000 0.390
C 0.750 0.500 0.890
C 0.250 0.000 0.610
C 0.250 0.500 0.110
Ru 0.750 0.500 0.081
Ru 0.250 0.500 0.919
Ru 0.250 0.000 0.419
Ru 0.750 0.000 0.581
```

Calculated values
DFT formation energy in eV/f.u.: -0.65
Excess energy over the best structure of this formula in the dataset in meV/atom: 0


Entry 17:
## Y2Zn2Ru2C (PBE-GGA)

Data for a relaxed structure of Y2Zn2Ru2C. Values from VASP.

Structure (Quantum ESPRESSO input):
```
&SYSTEM
  ibrav = 0, nat = 7, ntyp = 4
/
ATOMIC_SPECIES
Zn 65.41 Zn.upf
Y 88.91 Y.upf
Ru 101.07 Ru.upf
C 12.01 C.upf
CELL_PARAMETERS angstrom
3.820 0.000 0.000
1.910 5.418 -0.313
1.910 1.709 5.881
ATOMIC_POSITIONS crystal
Zn 0.865 0.606 0.664
Zn 0.135 0.394 0.336
Y 0.567 0.151 0.714
Y 0.433 0.849 0.286
Ru 0.805 0.321 0.070
Ru 0.195 0.679 0.930
C 0.000 0.000 0.000
```

Calculated values
DFT formation energy in eV/f.u.: -2.47


Entry 18:
## Y2ZnRuC (PBE-GGA)

Data for a relaxed structure of Y2ZnRuC. Values from VASP.

Structure (Quantum ESPRESSO input):
```
&SYSTEM
  ibrav = 0, nat = 5, ntyp = 4
/
ATOMIC_SPECIES
Ru 101.07 Ru.upf
Y 88.91 Y.upf
C 12.01 C.upf
Zn 65.41 Zn.upf
CELL_PARAMETERS angstrom
4.969 0.000 0.000
0.000 4.969 0.000
0.000 0.000 3.900
ATOMIC_POSITIONS crystal
Ru 0.000 0.000 0.500
Y 0.500 0.000 0.000
Y 0.000 0.500 0.000
C 0.000 0.000 0.000
Zn 0.500 0.500 0.500
```

Calculated values
DFT formation energy in eV/f.u.: -2.02


Entry 19:
## Yb3RuC4 (PBE-GGA)

Data for a relaxed structure of Yb3RuC4. Values from VASP.

Structure (Quantum ESPRESSO input):
```
&SYSTEM
  ibrav = 0, nat = 8, ntyp = 3
/
ATOMIC_SPECIES
Ru 101.07 Ru.upf
Yb 173.04 Yb.upf
C 12.01 C.upf
CELL_PARAMETERS angstrom
3.499 0.000 0.000
-0.001 4.781 -0.004
-1.754 -1.964 7.360
ATOMIC_POSITIONS crystal
Ru 0.500 0.000 0.000
Yb 0.000 0.500 0.000
Yb 0.168 0.220 0.334
Yb 0.832 0.780 0.666
C 0.339 0.350 0.681
C 0.395 0.183 0.791
C 0.605 0.817 0.209
C 0.661 0.650 0.319
```

Calculated values
DFT formation energy in eV/f.u.: -1.48


Entry 20:
## YbRu3C (PBE-GGA)

Data for a relaxed structure of YbRu3C. Values from VASP.

Structure (Quantum ESPRESSO input):
```
&SYSTEM
  ibrav = 0, nat = 5, ntyp = 3
/
ATOMIC_SPECIES
C 12.01 C.upf
Ru 101.07 Ru.upf
Yb 173.04 Yb.upf
CELL_PARAMETERS angstrom
-1.548 -2.648 -2.767
2.827 -2.803 1.101
-2.583 -1.481 2.862
ATOMIC_POSITIONS crystal
C 0.500 0.500 0.500
Ru 0.000 0.500 0.500
Ru 0.500 0.000 0.500
Ru 0.500 0.500 0.000
Yb 0.000 0.000 0.000
```

Calculated values
DFT formation energy in eV/f.u.: 0.01


Entry 21:
## Zn3RuC (PBE-GGA)

Data for a relaxed structure of Zn3RuC. Values from VASP.

Structure (Quantum ESPRESSO input):
```
&SYSTEM
  ibrav = 0, nat = 5, ntyp = 3
/
ATOMIC_SPECIES
C 12.01 C.upf
Zn 65.41 Zn.upf
Ru 101.07 Ru.upf
CELL_PARAMETERS angstrom
4.768 0.000 0.000
0.000 4.768 0.000
0.000 0.000 4.768
ATOMIC_POSITIONS crystal
C 0.500 0.500 0.500
Zn 0.000 0.000 0.500
Zn 0.000 0.500 0.000
Zn 0.500 0.000 0.000
Ru 0.000 0.000 0.000
```

Calculated values
DFT formation energy in eV/f.u.: 9.33
Excess energy over the best structure of this formula in the dataset in meV/atom: 1059


Entry 22:
## Zn3RuC (PBE-GGA)

Data for a relaxed structure of Zn3RuC. Values from VASP.

Structure (Quantum ESPRESSO input):
```
&SYSTEM
  ibrav = 0, nat = 5, ntyp = 3
/
ATOMIC_SPECIES
Zn 65.41 Zn.upf
Ru 101.07 Ru.upf
C 12.01 C.upf
CELL_PARAMETERS angstrom
-1.007 3.075 -2.424
-3.855 -0.341 1.169
0.684 2.603 3.017
ATOMIC_POSITIONS crystal
Zn 0.000 0.000 0.500
Zn 0.000 0.500 0.000
Zn 0.500 0.000 0.000
Ru 0.500 0.500 0.500
C 0.000 0.000 0.000
```

Calculated values
DFT formation energy in eV/f.u.: 4.04
Excess energy over the best structure of this formula in the dataset in meV/atom: 0


Entry 23:
## ZnRuC2 (PBE-GGA)

Data for a relaxed structure of ZnRuC2. Values from VASP.

Structure (Quantum ESPRESSO input):
```
&SYSTEM
  ibrav = 0, nat = 8, ntyp = 3
/
ATOMIC_SPECIES
Ru 101.07 Ru.upf
C 12.01 C.upf
Zn 65.41 Zn.upf
CELL_PARAMETERS angstrom
4.733 0.000 0.000
0.000 4.733 0.000
2.366 2.366 4.524
ATOMIC_POSITIONS crystal
Ru 0.750 0.250 0.500
Ru 0.000 0.000 0.000
C 0.375 0.342 0.750
C 0.092 0.625 0.250
C 0.875 0.908 0.750
C 0.658 0.125 0.250
Zn 0.250 0.750 0.500
Zn 0.500 0.500 0.000
```

Calculated values
DFT formation energy in eV/f.u.: 3.56


Entry 24:
## Zr2ZnRuC (PBE-GGA)

Data for a relaxed structure of Zr2ZnRuC. Values from VASP.

Structure (Quantum ESPRESSO input):
```
&SYSTEM
  ibrav = 0, nat = 5, ntyp = 4
/
ATOMIC_SPECIES
C 12.01 C.upf
Zn 65.41 Zn.upf
Ru 101.07 Ru.upf
Zr 91.22 Zr.upf
CELL_PARAMETERS angstrom
4.908 0.000 0.000
0.000 4.625 0.000
0.000 0.000 4.908
ATOMIC_POSITIONS crystal
C 0.500 0.500 0.500
Zn 0.000 0.500 0.000
Ru 0.000 0.000 0.000
Zr 0.500 0.000 0.000
Zr 0.000 0.000 0.500
```

Calculated values
DFT formation energy in eV/f.u.: 7.01


Entry 25:
## Zr2Ru2C (PBE-GGA)

Data for a relaxed structure of Zr2Ru2C. Values from VASP.

Structure (Quantum ESPRESSO input):
```
&SYSTEM
  ibrav = 0, nat = 5, ntyp = 3
/
ATOMIC_SPECIES
Ru 101.07 Ru.upf
Zr 91.22 Zr.upf
C 12.01 C.upf
CELL_PARAMETERS angstrom
-4.577 2.375 1.153
-2.108 -1.900 -4.457
-4.327 -2.439 -0.046
ATOMIC_POSITIONS crystal
Ru 0.286 0.286 0.427
Ru 0.714 0.714 0.573
Zr 0.250 0.750 0.500
Zr 0.750 0.250 0.500
C 0.000 0.000 0.000
```

Calculated values
DFT formation energy in eV/f.u.: 2.02
Excess energy over the best structure of this formula in the dataset in meV/atom: 280


Entry 26:
## Zr2Ru2C (PBE-GGA)

Data for a relaxed structure of Zr2Ru2C. Values from VASP.

Structure (Quantum ESPRESSO input):
```
&SYSTEM
  ibrav = 0, nat = 10, ntyp = 3
/
ATOMIC_SPECIES
Zr 91.22 Zr.upf
Ru 101.07 Ru.upf
C 12.01 C.upf
CELL_PARAMETERS angstrom
-1.150 5.084 -2.322
-4.810 0.307 3.055
2.381 2.152 3.532
ATOMIC_POSITIONS crystal
Zr 0.674 0.826 0.500
Zr 0.326 0.174 0.500
Zr 0.826 0.326 0.500
Zr 0.174 0.674 0.500
Ru 0.165 0.335 0.000
Ru 0.835 0.665 0.000
Ru 0.665 0.165 0.000
Ru 0.335 0.835 0.000
C 0.500 0.500 0.000
C 0.000 0.000 0.000
```

Calculated values
DFT formation energy in eV/f.u.: 0.62
Excess energy over the best structure of this formula in the dataset in meV/atom: 0